DFT (PBE-GGA) results for crystalline Nb2C at its relaxed geometry.

The structure in CIF format:
```
data_Nb2C
_symmetry_space_group_name_H-M 'P -3 m 1'
_symmetry_Int_Tables_number 164
_symmetry_space_group_name_Hall '-P 3 2"'
_cell_length_a 3.1512
_cell_length_b 3.1512
_cell_length_c 4.9916
_cell_angle_alpha 90.00
_cell_angle_beta 90.00
_cell_angle_gamma 120.00
loop_
_atom_site_label
_atom_site_fract_x
_atom_site_fract_y
_atom_site_fract_z
Nb1 0.3333 0.6667 0.2506
C1 0.0000 0.0000 0.0000
```

Values from the calculation:
Formation enthalpy at 0 K: -468 meV per atom
Final energy: -10.256 eV/atom

DFT (PBE-GGA) results for crystalline Pa2FeRh at its relaxed geometry.

The structure in CIF format:
```
data_Pa2FeRh
_symmetry_space_group_name_H-M 'P 4/m m m'
_symmetry_Int_Tables_number 123
_symmetry_space_group_name_Hall '-P 4 2'
_cell_length_a 4.835
_cell_length_b 4.835
_cell_length_c 3.318
_cell_angle_alpha 90.00
_cell_angle_beta 90.00
_cell_angle_gamma 90.00
loop_
_atom_site_label
_atom_site_fract_x
_atom_site_fract_y
_atom_site_fract_z
Pa1 0.000 0.500 0.000
Fe1 0.000 0.000 0.500
Rh1 0.500 0.500 0.500
```

Values from the calculation:
Formation enthalpy at 0 K: -234 meV per atom
Final energy: -8.936 eV/atom
E above lowest polymorph: 0.000 eV per atom

DFT (PBE-GGA) results for crystalline CrRh2Br at its relaxed geometry.

The structure in CIF format:
```
data_CrRh2Br
_symmetry_space_group_name_H-M 'P 4 m m'
_symmetry_Int_Tables_number 99
_cell_length_a 3.005
_cell_length_b 3.005
_cell_length_c 7.150
_cell_angle_alpha 90.00
_cell_angle_beta 90.00
_cell_angle_gamma 90.00
loop_
_symmetry_equiv_pos_as_xyz
'x,y,z'
'-y,x,z'
'-x,-y,z'
'y,-x,z'
'-x,y,z'
'y,x,z'
'x,-y,z'
'-y,-x,z'
loop_
_atom_site_label
_atom_site_fract_x
_atom_site_fract_y
_atom_site_fract_z
Cr1 0.000 0.000 0.000
Rh1 0.000 0.000 0.467
Rh2 0.500 0.500 0.225
Br1 0.500 0.500 0.750
```

Values from the calculation:
Final energy: -6.077 eV/atom
Energy relative to the elements, uncorrected: 0.422 eV per atom
E above lowest polymorph: 0.146 eV per atom

DFT (PBE-GGA) results for crystalline KRb2Mg at its relaxed geometry.

The structure in CIF format:
```
data_KRb2Mg
_symmetry_space_group_name_H-M 'R -3 m'
_symmetry_Int_Tables_number 166
_symmetry_space_group_name_Hall '-R 3 2"'
_cell_length_a 4.5166
_cell_length_b 4.5166
_cell_length_c 47.5420
_cell_angle_alpha 90.00
_cell_angle_beta 90.00
_cell_angle_gamma 120.00
loop_
_atom_site_label
_atom_site_fract_x
_atom_site_fract_y
_atom_site_fract_z
K1 0.0000 0.0000 0.0000
Rb1 0.0000 0.0000 0.4194
Mg1 0.0000 0.0000 0.5000
```

Values from the calculation:
Formation enthalpy at 0 K: 301 meV per atom
Final energy: -0.856 eV/atom